## Cd3Ni3PdO8 (GGA+U)

Data for Cd3Ni3PdO8 after structural relaxation.

Cell lengths 6.465, 6.465, 6.465 Å; angles 57.52, 57.52, 57.52 degrees
Fractional positions:
1 Cd 0.000 0.500 0.500
2 Cd 0.500 0.000 0.500
3 Cd 0.500 0.500 0.000
4 Ni 0.000 0.000 0.500
5 Ni 0.000 0.500 0.000
6 Ni 0.500 0.000 0.000
7 Pd 0.500 0.500 0.500
8 O 0.238 0.238 0.238
9 O 0.250 0.728 0.728
10 O 0.272 0.272 0.750
11 O 0.272 0.750 0.272
12 O 0.728 0.250 0.728
13 O 0.728 0.728 0.250
14 O 0.750 0.272 0.272
15 O 0.762 0.762 0.762

Calculated density in kg/m³: 6891
Raw total energy in eV for the cell shown: -68.815